Record 1
Material: AgRuSe2N
Method: DFT, PBE
State: relaxed

Relative energy among the computed polymorphs in kJ/mol of atoms: 0.0
Magnetization in Bohr magnetons per cell: 0.00
Energy relative to the elements, uncorrected in eV per atom: 0.429
Total energy in Ry/atom: -0.3716

Unit cell a=5.137 b=5.137 c=3.632 alpha=90.00 beta=90.00 gamma=90.00
Space group P4/mmm (No. 123)
Inequivalent atoms, fractional coordinates:
Ag1 0.000 0.000 0.000
Ru1 0.500 0.500 0.500
Se1 0.000 0.500 0.500
N1 0.500 0.500 0.000



Record 2
Material: AgRuSeN2
Method: DFT, PBE
State: relaxed

Relative energy among the computed polymorphs in kJ/mol of atoms: 152.6
Magnetization in Bohr magnetons per cell: 2.86
Energy relative to the elements, uncorrected in eV per atom: 2.298
Total energy in Ry/atom: -0.3054

Unit cell a=3.928 b=3.928 c=5.455 alpha=90.00 beta=90.00 gamma=90.00
Space group P4/mmm (No. 123)
Inequivalent atoms, fractional coordinates:
Ag1 0.000 0.000 0.000
Ru1 0.500 0.500 0.500
Se1 0.000 0.000 0.500
N1 0.000 0.500 0.000



Record 3
Material: Sr2AgRuN
Method: DFT, PBE
State: relaxed

Magnetization in Bohr magnetons per cell: 0.00
Energy relative to the elements, uncorrected in eV per atom: -0.375
Total energy in Ry/atom: -0.3776

Unit cell a=5.478 b=5.478 c=3.813 alpha=90.00 beta=90.00 gamma=90.00
Space group P4/mmm (No. 123)
Inequivalent atoms, fractional coordinates:
Sr1 0.000 0.500 0.000
Ag1 0.000 0.000 0.500
Ru1 0.500 0.500 0.500
N1 0.500 0.500 0.000



Record 4
Material: AgTeRuN2
Method: DFT, PBE
State: relaxed

Relative energy among the computed polymorphs in kJ/mol of atoms: 0.0
Magnetization in Bohr magnetons per cell: 0.38
Energy relative to the elements, uncorrected in eV per atom: 0.752
Total energy in Ry/atom: -0.4139

Unit cell a=3.858 b=3.858 c=5.819 alpha=90.00 beta=90.00 gamma=90.00
Space group P4/mmm (No. 123)
Inequivalent atoms, fractional coordinates:
Ag1 0.000 0.000 0.000
Te1 0.500 0.500 0.000
Ru1 0.500 0.500 0.500
N1 0.000 0.500 0.500